Entry 1:
! NaSbTe PBE optimized geometry; values from VASP
! E_tot: -19.7 eV/cell
! volume: 219.86 Å³/cell
! E above lowest polymorph: 0.039 eV/atom
! formation energy from raw total energies: -418 meV per atom
&SYSTEM
  ibrav = 0, nat = 6, ntyp = 3
/
ATOMIC_SPECIES
Na 22.99 Na.upf
Sb 121.76 Sb.upf
Te 127.60 Te.upf
CELL_PARAMETERS angstrom
-0.819 4.133 2.133
0.285 -0.150 5.656
9.525 -0.267 4.192
ATOMIC_POSITIONS angstrom
Na 4.703 1.974 5.541
Na 2.305 2.649 3.324
Sb 8.450 2.775 10.686
Sb 8.365 1.432 8.024
Te 5.622 0.777 8.241
Te 1.667 3.695 6.278

***

Entry 2:
! Tb2Nb2Ge2C PBE optimized geometry; values from VASP
! E_tot: -52.4 eV/cell
! volume: 138.59 Å³/cell
! formation energy: -0.65 eV/atom
&SYSTEM
  ibrav = 0, nat = 7, ntyp = 4
/
ATOMIC_SPECIES
Tb 158.93 Tb.upf
Nb 92.91 Nb.upf
Ge 72.64 Ge.upf
C 12.01 C.upf
CELL_PARAMETERS angstrom
-2.830 -3.023 1.054
1.737 -0.268 3.895
-4.230 6.988 0.022
ATOMIC_POSITIONS angstrom
Tb -1.586 1.774 0.829
Tb -3.737 1.923 4.143
Nb 0.868 -0.134 1.948
Nb -1.415 -1.512 0.527
Ge -3.550 3.971 1.856
Ge -1.773 -0.274 3.116
C 0.000 0.000 0.000

***

Entry 3:
! Ca2ReTcN5 PBE optimized geometry; values from VASP
! E_tot: -144.6 eV/cell
! volume: 234.96 Å³/cell
! formation energy from raw total energies: -431 meV per atom
&SYSTEM
  ibrav = 0, nat = 18, ntyp = 4
/
ATOMIC_SPECIES
Ca 40.08 Ca.upf
Re 186.21 Re.upf
Tc 98.00 Tc.upf
N 14.01 N.upf
CELL_PARAMETERS angstrom
3.113 0.000 0.000
-1.556 7.777 0.000
0.000 0.000 9.705
ATOMIC_POSITIONS angstrom
Ca 1.556 5.984 7.691
Ca 0.000 1.924 6.672
Ca 0.000 1.793 2.838
Ca 1.556 5.854 1.820
Re 1.556 1.017 9.485
Re 0.000 6.760 4.632
Tc 1.556 4.301 4.828
Tc 0.000 3.476 9.681
N 0.000 5.246 9.654
N 1.556 2.795 8.418
N 1.556 0.157 7.918
N 0.000 5.007 6.063
N 1.556 7.503 5.500
N 1.556 2.532 4.801
N 0.000 4.982 3.565
N 0.000 7.621 3.065
N 1.556 2.771 1.210
N 0.000 0.274 0.647

***

Entry 4:
! LiCr4 PBE optimized geometry; values from VASP
! E_tot: -38.4 eV/cell
! volume: 58.57 Å³/cell
! formation energy: 0.41 eV/atom
! E above lowest polymorph: 0.000 eV/atom
&SYSTEM
  ibrav = 0, nat = 5, ntyp = 2
/
ATOMIC_SPECIES
Li 6.94 Li.upf
Cr 52.00 Cr.upf
CELL_PARAMETERS angstrom
-2.582 -2.830 -1.922
0.338 0.188 4.269
-1.677 3.799 -1.061
ATOMIC_POSITIONS angstrom
Li 0.000 0.000 0.000
Cr -1.679 2.548 1.263
Cr -1.887 -0.076 1.843
Cr -2.243 -1.391 0.023
Cr -2.035 1.233 -0.557

***

Entry 5:
! Tm5CoSb4 PBE optimized geometry; values from VASP
! E_tot: -53.3 eV/cell
! volume: 272.10 Å³/cell
! formation energy from raw total energies: -732 meV per atom
&SYSTEM
  ibrav = 0, nat = 10, ntyp = 3
/
ATOMIC_SPECIES
Tm 168.93 Tm.upf
Co 58.93 Co.upf
Sb 121.76 Sb.upf
CELL_PARAMETERS angstrom
6.091 0.000 0.000
3.046 6.684 0.000
3.046 0.000 6.684
ATOMIC_POSITIONS angstrom
Tm 9.268 2.512 5.431
Tm 6.222 5.431 4.172
Tm 6.222 1.252 2.512
Tm 3.176 4.172 1.252
Tm 2.327 0.000 0.000
Co 5.775 0.000 0.000
Sb 6.235 2.581 5.315
Sb 9.281 5.315 4.103
Sb 3.190 1.368 2.581
Sb 6.236 4.103 1.368

***

Entry 6:
! NdBe2AlPt4 PBE optimized geometry; values from VASP
! E_tot: -46.8 eV/cell
! volume: 129.00 Å³/cell
! formation energy: -0.83 eV/atom
&SYSTEM
  ibrav = 0, nat = 8, ntyp = 4
/
ATOMIC_SPECIES
Nd 144.24 Nd.upf
Be 9.01 Be.upf
Al 26.98 Al.upf
Pt 195.08 Pt.upf
CELL_PARAMETERS angstrom
4.106 0.000 0.000
2.053 3.556 0.000
2.053 1.185 8.836
ATOMIC_POSITIONS angstrom
Nd 0.000 0.000 0.000
Be 6.159 3.556 6.353
Be 2.053 1.185 2.482
Al 4.106 2.371 4.418
Pt 4.106 2.371 6.916
Pt 6.159 3.556 3.503
Pt 2.053 1.185 5.333
Pt 4.106 2.371 1.919

***

Entry 7:
! Pm8ErTh2 PBE optimized geometry; values from VASP
! E_tot: -55.3 eV/cell
! volume: 376.29 Å³/cell
! formation energy: 0.20 eV/atom
&SYSTEM
  ibrav = 0, nat = 11, ntyp = 3
/
ATOMIC_SPECIES
Pm 145.00 Pm.upf
Er 167.26 Er.upf
Th 232.04 Th.upf
CELL_PARAMETERS angstrom
-4.509 -3.228 -2.357
4.676 -5.828 1.728
-3.552 3.948 7.745
ATOMIC_POSITIONS angstrom
Pm 0.026 -1.524 2.014
Pm -6.418 -0.533 3.937
Pm -4.805 -0.803 6.790
Pm -3.692 -1.854 1.901
Pm 0.307 -3.254 5.216
Pm 1.420 -4.305 0.327
Pm 3.033 -4.575 3.179
Pm -3.411 -3.584 5.102
Er -2.254 -1.614 -1.178
Th -1.254 -4.752 2.551
Th -2.131 -0.356 4.566

***

Entry 8:
! Cd2IrAu PBE optimized geometry; values from VASP
! E_tot: -25.1 eV/cell
! volume: 158.35 Å³/cell
! formation energy: 0.36 eV/atom
! E above lowest polymorph: 0.326 eV/atom
&SYSTEM
  ibrav = 0, nat = 8, ntyp = 3
/
ATOMIC_SPECIES
Ir 192.22 Ir.upf
Au 196.97 Au.upf
Cd 112.41 Cd.upf
CELL_PARAMETERS angstrom
4.053 0.000 0.000
0.000 4.053 0.000
2.027 2.027 9.639
ATOMIC_POSITIONS angstrom
Ir 2.027 2.027 0.000
Ir 2.027 4.053 4.819
Au 0.000 0.000 0.000
Au 4.053 2.027 4.819
Cd 3.002 1.013 2.410
Cd 1.051 3.040 2.410
Cd 3.040 3.077 7.229
Cd 5.067 5.029 7.229